The following is a PBE+U calculation of crystalline Cr2WO6 at its relaxed geometry, from Alexandria via LeMat-Bulk.

Lattice parameters (Å, degrees): 4.6588 4.6588 9.1063 90.00 90.00 90.00
Space group P4_2/mnm (No. 136)
Asymmetric unit:
1 Cr 0.0000 0.0000 0.1656 x4
2 W 0.0000 0.0000 0.5000 x2
3 O 0.1944 0.1944 0.3397 x8
4 O 0.2003 0.2003 0.0000 x4

Results
Crystal system = tetragonal
ρ = 6.450 g cm⁻³
Energy relative to the lowest polymorph listed for this composition = 0.0 meV per atom